Below is a relaxed MgNpI6 crystal, with properties calculated at the PBE level.

Properties
- Total magnetization: 3.00 μB per formula unit
- Mass density: 4.6 g cm⁻³
- Raw total energy: -3.80 eV/atom

```
data_MgNpI6
_chemical_formula_sum 'Mg2 Np2 I12'
_symmetry_space_group_name_H-M 'C 1 2/m 1'
_symmetry_Int_Tables_number 12
_symmetry_space_group_name_Hall '-C 2y'
_cell_length_a 7.3896
_cell_length_b 14.3229
_cell_length_c 7.3941
_cell_angle_alpha 90.00
_cell_angle_beta 109.70
_cell_angle_gamma 90.00
loop_
_atom_site_label
_atom_site_type_symbol
_atom_site_fract_x
_atom_site_fract_y
_atom_site_fract_z
Mg1 Mg 0.0000 0.0000 0.0000
Np1 Np 0.0000 0.5000 0.5000
I1 I 0.2391 0.1449 0.2400
I2 I 0.2445 0.5000 0.2547
```